A plane-wave DFT calculation with GGA-PBE was carried out for an optimized crystal structure of PaAgAu2.

Summary:
* formation enthalpy at 0 K: -218 meV/atom
* crystal system: tetragonal
* spin magnetization: 1.1 μB/f.u.
* E above lowest polymorph: 64 meV/atom

a = 3.402 Å, b = 3.402 Å, c = 7.098 Å
α = 90.00°, β = 90.00°, γ = 90.00°
Space group P4/mmm (No. 123)
Symmetry-distinct sites (fractional):
Pa  0.000  0.000  0.000 [1 per cell]
Ag  0.000  0.000  0.500 [1 per cell]
Au  0.500  0.500  0.274 [2 per cell]

=====

A plane-wave DFT calculation with GGA-PBE was carried out for an optimized crystal structure of KAl3Bi.

Summary:
* formation enthalpy at 0 K: 1374 meV/atom
* crystal system: cubic
* spin magnetization: 0.0 μB/f.u.
* E above lowest polymorph: 651 meV/atom

a = 5.638 Å, b = 5.638 Å, c = 5.638 Å
α = 90.00°, β = 90.00°, γ = 90.00°
Space group Pm-3m (No. 221)
Symmetry-distinct sites (fractional):
K  0.000  0.000  0.000 [1 per cell]
Al  0.000  0.000  0.500 [3 per cell]
Bi  0.500  0.500  0.500 [1 per cell]

=====

A plane-wave DFT calculation with GGA-PBE was carried out for an optimized crystal structure of ErSi6Ni12.

Summary:
* formation energy (no corrections): -0.489 eV/atom
* crystal system: trigonal
* spin magnetization: 0.0 μB/f.u.

a = 10.3852 Å, b = 10.3852 Å, c = 7.7240 Å
α = 90.00°, β = 90.00°, γ = 120.00°
Space group R-3m (No. 166, hexagonal axes)
Symmetry-distinct sites (fractional):
Er  0.0000  0.0000  0.0000 [3 per cell]
Si  0.0365  0.5182  0.2619 [18 per cell]
Ni  0.0000  0.3790  0.5000 [18 per cell]
Ni  0.0868  0.1737  0.3355 [18 per cell]

=====

A plane-wave DFT calculation with GGA-PBE was carried out for an optimized crystal structure of RbMgCd2Hg4.

Summary:
* formation enthalpy at 0 K: -119 meV/atom
* crystal system: trigonal
* spin magnetization: 0.0 μB/f.u.

a = 4.9495 Å, b = 4.9495 Å, c = 32.6222 Å
α = 90.00°, β = 90.00°, γ = 120.00°
Space group R-3m (No. 166, hexagonal axes)
Symmetry-distinct sites (fractional):
Rb  0.0000  0.0000  0.0000 [3 per cell]
Mg  0.0000  0.0000  0.5000 [3 per cell]
Cd  0.0000  0.0000  0.2342 [6 per cell]
Hg  0.0000  0.0000  0.1353 [6 per cell]
Hg  0.0000  0.0000  0.4025 [6 per cell]

=====

A plane-wave DFT calculation with GGA-PBE was carried out for an optimized crystal structure of AcPm2Au.

Summary:
* formation enthalpy at 0 K: -121 meV/atom
* crystal system: tetragonal
* spin magnetization: 0.0 μB/f.u.
* E above lowest polymorph: 267 meV/atom

a = 5.665 Å, b = 5.665 Å, c = 3.797 Å
α = 90.00°, β = 90.00°, γ = 90.00°
Space group P4/mmm (No. 123)
Symmetry-distinct sites (fractional):
Ac  0.000  0.000  0.000 [1 per cell]
Pm  0.000  0.500  0.500 [2 per cell]
Au  0.500  0.500  0.000 [1 per cell]

=====

A plane-wave DFT calculation with GGA-PBE was carried out for an optimized crystal structure of K2CdPt.

Summary:
* formation enthalpy at 0 K: 97 meV/atom
* crystal system: cubic
* spin magnetization: 0.0 μB/f.u.
* E above lowest polymorph: 245 meV/atom

a = 7.886 Å, b = 7.886 Å, c = 7.886 Å
α = 90.00°, β = 90.00°, γ = 90.00°
Space group Fm-3m (No. 225)
Symmetry-distinct sites (fractional):
K  0.250  0.250  0.250 [8 per cell]
Cd  0.000  0.000  0.000 [4 per cell]
Pt  0.000  0.000  0.500 [4 per cell]

=====

A plane-wave DFT calculation with GGA-PBE was carried out for an optimized crystal structure of Pr3Zn9Pd2.

Summary:
* formation enthalpy at 0 K: -443 meV/atom
* crystal system: orthorhombic
* spin magnetization: 0.0 μB/f.u.

a = 4.378 Å, b = 9.119 Å, c = 13.387 Å
α = 90.00°, β = 90.00°, γ = 90.00°
Space group Immm (No. 71)
Symmetry-distinct sites (fractional):
Pr  0.000  0.000  0.000 [2 per cell]
Pr  0.000  0.000  0.306 [4 per cell]
Zn  0.000  0.283  0.127 [8 per cell]
Zn  0.000  0.357  0.331 [8 per cell]
Zn  0.000  0.500  0.000 [2 per cell]
Pd  0.000  0.207  0.500 [4 per cell]